DFT (GGA-PBE) results for a relaxed structure of Al2AgPI.

Cell: 4.8246 4.8246 5.8996 Å, 90.00 90.00 90.00°
Closest atoms and distances in Å follow each position.
Space group P4/mmm (No. 123)
One atom of each set of equivalent atoms:
Al (0.0000, 0.5000, 0.0000)  2 Ag 2.41
Ag (0.0000, 0.0000, 0.0000)  4 Al 2.41
P (0.5000, 0.5000, 0.5000)  4 I 3.41, 8 Al 3.81
I (0.0000, 0.0000, 0.5000)  2 Ag 2.95

## Properties
formation energy without anion corrections = 860.9 meV per atom
calculated total energy = -2.598 eV/atom